Ta2AlRh2 | the Alexandria database | GGA-PBE | optimized geometry; energy of formation = -0.9 eV per formula unit; total DFT energy (no corrections) = -0.317 hartree per atom; Fermi-level density of states = 6.8 states/eV per cell; space-group type = P4/mbm (127); excess energy over the best structure of this formula in the dataset = 0.203 eV/atom
1.0
7.683 0.000 0.000
0.000 7.683 0.000
0.000 0.000 2.918
Ta Al Rh
4 2 4
Cartesian
1.226 2.616 0.000 Ta
2.616 6.457 0.000 Ta
5.067 1.226 0.000 Ta
6.457 5.067 0.000 Ta
0.000 0.000 0.000 Al
3.841 3.841 0.000 Al
1.027 4.869 1.459 Rh
2.814 1.027 1.459 Rh
4.869 6.655 1.459 Rh
6.655 2.814 1.459 Rh